Record 1
{"formula": "Mo3C4", "functional": "PBE", "state": "relaxed", "lattice_angstrom": [[-1.523, 1.523, 7.689], [1.523, -1.523, 7.689], [1.523, 1.523, -7.689]], "species": ["Mo", "Mo", "Mo", "C", "C", "C", "C"], "frac_coords": [[0.000, 0.000, 0.000], [0.314, 0.314, 0.000], [0.686, 0.686, 0.000], [0.165, 0.165, 0.000], [0.455, 0.455, 0.000], [0.545, 0.545, 0.000], [0.835, 0.835, 0.000]], "total_energy_ev_per_atom": -9.311, "mass_density_g_cm3": 7.8, "crystal_system": "tetragonal", "e_form_kj_per_mol_atoms": 58.0, "polymorph_energy_ev_per_atom": 0.000}

***

Record 2
{"formula": "LiHoCoC", "functional": "PBE", "state": "relaxed", "lattice_angstrom": [[3.367, 0.000, 0.000], [0.000, 3.367, 0.000], [0.000, 0.000, 10.638]], "species": ["Li", "Li", "Ho", "Ho", "Co", "Co", "C", "C"], "frac_coords": [[0.250, 0.750, 0.000], [0.750, 0.250, 0.000], [0.250, 0.250, 0.283], [0.750, 0.750, 0.717], [0.250, 0.750, 0.500], [0.750, 0.250, 0.500], [0.250, 0.250, 0.604], [0.750, 0.750, 0.396]], "total_energy_ev_per_atom": -5.760, "mass_density_g_cm3": 6.7, "crystal_system": "tetragonal", "e_form_kj_per_mol_atoms": -5.3}